First-principles (PBE-GGA) data for a relaxed Y4Cd2In crystal, as listed in the Alexandria database.

M_tot ... 1.14 μB per cell
DOS at the Fermi energy ... 9.195 states/eV/f.u.
DFT formation energy ... -0.219 eV/atom
Crystal system ... trigonal

Structure (CIF):
```
data_Y4Cd2In
_chemical_formula_sum 'Y12 Cd6 In3'
_symmetry_space_group_name_H-M 'R -3 m'
_symmetry_Int_Tables_number 166
_symmetry_space_group_name_Hall '-R 3 2"'
_cell_length_a 5.2412
_cell_length_b 5.2412
_cell_length_c 25.4028
_cell_angle_alpha 90.00
_cell_angle_beta 90.00
_cell_angle_gamma 120.00
loop_
_atom_site_label
_atom_site_fract_x
_atom_site_fract_y
_atom_site_fract_z
Y1 0.0000 0.0000 0.1176
Y2 0.0000 0.0000 0.3707
Cd1 0.0000 0.0000 0.2473
In1 0.0000 0.0000 0.5000
```